# Tl2Pb6Au PBE relaxed
data_Tl2Pb6Au
_cell_length_a 6.4437
_cell_length_b 9.5465
_cell_length_c 9.5465
_cell_angle_alpha 89.18
_cell_angle_beta 76.35
_cell_angle_gamma 76.35
_space_group_name_H-M_alt 'P 1'
_space_group_IT_number 1
_space_group_name_Hall 'P 1'
loop_
_atom_site_label
_atom_site_type_symbol
_atom_site_fract_x
_atom_site_fract_y
_atom_site_fract_z
_atom_site_occupancy
Pb1 Pb 0.9845 0.1789 0.0895 1
Pb2 Pb 0.4845 0.0895 0.1789 1
Pb3 Pb 0.0158 0.6289 0.2266 1
Pb4 Pb 0.6444 0.6188 0.0261 1
Pb5 Pb 0.0155 0.8211 0.9105 1
Pb6 Pb 0.1444 0.0261 0.6188 1
Pb7 Pb 0.4842 0.7734 0.3711 1
Pb8 Pb 0.8556 0.9739 0.3812 1
Pb9 Pb 0.5158 0.2266 0.6289 1
Pb10 Pb 0.9842 0.3711 0.7734 1
Pb11 Pb 0.3556 0.3812 0.9739 1
Pb12 Pb 0.5155 0.9105 0.8211 1
Tl1 Tl 0.5124 0.4180 0.3186 1
Tl2 Tl 0.9876 0.6814 0.5820 1
Tl3 Tl 0.0124 0.3186 0.4180 1
Tl4 Tl 0.4876 0.5820 0.6814 1
Au1 Au 0.2500 0.8695 0.1305 1
Au2 Au 0.7500 0.1305 0.8695 1
# Formation energy from the elements ... 0.0021 eV per atom

***

# Cs2Tl2InPb PBE relaxed
data_Cs2Tl2InPb
_cell_length_a 7.1687
_cell_length_b 7.1310
_cell_length_c 11.0664
_cell_angle_alpha 108.80
_cell_angle_beta 108.90
_cell_angle_gamma 90.00
_space_group_name_H-M_alt 'P 1'
_space_group_IT_number 1
_space_group_name_Hall 'P 1'
loop_
_atom_site_label
_atom_site_type_symbol
_atom_site_fract_x
_atom_site_fract_y
_atom_site_fract_z
_atom_site_occupancy
Cs1 Cs 0.0712 0.3303 0.6607 1
Cs2 Cs 0.9288 0.6697 0.3393 1
Cs3 Cs 0.5895 0.8303 0.6607 1
Cs4 Cs 0.4105 0.1697 0.3393 1
Tl1 Tl 0.8418 0.1045 0.2090 1
Tl2 Tl 0.1582 0.8955 0.7910 1
Tl3 Tl 0.3672 0.6045 0.2090 1
Tl4 Tl 0.6328 0.3955 0.7910 1
Pb1 Pb 0.0000 0.7500 0.0000 1
Pb2 Pb 0.0000 0.2500 0.0000 1
In1 In 0.5000 0.7500 0.0000 1
In2 In 0.5000 0.2500 0.0000 1
# Formation energy from the elements ... -0.1362 eV per atom

***

# Cd2HOs PBE relaxed
data_Cd2HOs
_cell_length_a 9.7019
_cell_length_b 9.7019
_cell_length_c 7.0509
_cell_angle_alpha 46.53
_cell_angle_beta 46.53
_cell_angle_gamma 90.00
_space_group_name_H-M_alt 'P 1'
_space_group_IT_number 1
_space_group_name_Hall 'P 1'
loop_
_atom_site_label
_atom_site_type_symbol
_atom_site_fract_x
_atom_site_fract_y
_atom_site_fract_z
_atom_site_occupancy
Os1 Os 0.0000 0.0000 0.0000 1
Os2 Os 0.7500 0.2500 0.5000 1
Cd1 Cd 0.3753 0.6250 0.2500 1
Cd2 Cd 0.3747 0.1250 0.2500 1
Cd3 Cd 0.3750 0.6253 0.7500 1
Cd4 Cd 0.8750 0.6247 0.7500 1
H1 H 0.2500 0.7500 0.5000 1
H2 H 0.5000 0.5000 0.0000 1
# E_tot ... -3.480 eV/atom

***

# PuAg5O5 PBE relaxed
data_PuAg5O5
_cell_length_a 4.2108
_cell_length_b 5.5216
_cell_length_c 8.0681
_cell_angle_alpha 102.38
_cell_angle_beta 90.00
_cell_angle_gamma 112.41
_space_group_name_H-M_alt 'P 1'
_space_group_IT_number 1
_space_group_name_Hall 'P 1'
loop_
_atom_site_label
_atom_site_type_symbol
_atom_site_fract_x
_atom_site_fract_y
_atom_site_fract_z
_atom_site_occupancy
Ag1 Ag 0.3352 0.6703 0.6230 1
Ag2 Ag 0.6255 0.2510 0.7141 1
Ag3 Ag 0.6648 0.3297 0.3770 1
Ag4 Ag 0.3745 0.7490 0.2859 1
Ag5 Ag 0.0000 0.0000 0.5000 1
O1 O 0.8648 0.7297 0.1297 1
O2 O 0.8555 0.7109 0.7751 1
O3 O 0.1352 0.2703 0.8703 1
O4 O 0.5000 0.0000 0.0000 1
O5 O 0.1445 0.2891 0.2249 1
Pu1 Pu 0.0000 0.0000 0.0000 1
# Formation energy from raw total energies ... -905.6 meV per atom

***

# Rb2SrZr PBE relaxed
data_Rb2SrZr
_cell_length_a 6.6511
_cell_length_b 6.6511
_cell_length_c 6.6511
_cell_angle_alpha 60.00
_cell_angle_beta 60.00
_cell_angle_gamma 60.00
_space_group_name_H-M_alt 'P 1'
_space_group_IT_number 1
_space_group_name_Hall 'P 1'
loop_
_atom_site_label
_atom_site_type_symbol
_atom_site_fract_x
_atom_site_fract_y
_atom_site_fract_z
_atom_site_occupancy
Rb1 Rb 0.7500 0.7500 0.7500 1
Rb2 Rb 0.2500 0.2500 0.2500 1
Sr1 Sr 0.0000 0.0000 0.0000 1
Zr1 Zr 0.5000 0.5000 0.5000 1
# Formation energy from the elements ... 1.0436 eV per atom

***

# CuRhBr2 PBE relaxed
data_CuRhBr2
_cell_length_a 8.0128
_cell_length_b 6.1583
_cell_length_c 3.4346
_cell_angle_alpha 56.00
_cell_angle_beta 115.52
_cell_angle_gamma 140.42
_space_group_name_H-M_alt 'P 1'
_space_group_IT_number 1
_space_group_name_Hall 'P 1'
loop_
_atom_site_label
_atom_site_type_symbol
_atom_site_fract_x
_atom_site_fract_y
_atom_site_fract_z
_atom_site_occupancy
Br1 Br 0.0000 0.0000 0.0000 1
Br2 Br 0.5000 0.0000 0.5000 1
Cu1 Cu 0.0000 0.5000 0.5000 1
Rh1 Rh 0.5000 0.5000 0.0000 1
# Formation energy from raw total energies ... 325.9 meV per atom

***

no.,ρ (g cm⁻³),M_tot (μB per atom)
1,11.08,0.000
2,6.58,0.000
3,9.02,0.000
4,8.50,0.093
5,2.79,0.815
6,6.05,0.002